No. 1
Below is an optimized crystal structure of NiAg3Cl6, with properties calculated at the PBE level.

```
data_NiAg3Cl6
_chemical_formula_sum 'Ni2 Ag6 Cl12'
_cell_length_a 6.6852
_cell_length_b 6.5710
_cell_length_c 11.8599
_cell_angle_alpha 90.00
_cell_angle_beta 123.97
_cell_angle_gamma 90.00
_symmetry_space_group_name_H-M 'P 1 21/c 1'
_symmetry_Int_Tables_number 14
_symmetry_space_group_name_Hall '-P 2ybc'
loop_
_atom_site_label
_atom_site_type_symbol
_atom_site_fract_x
_atom_site_fract_y
_atom_site_fract_z
Ni1 Ni 0.0000 0.0000 0.0000
Ag1 Ag 0.2633 0.0358 0.7609
Ag2 Ag 0.5000 0.0000 0.5000
Cl1 Cl 0.0788 0.2080 0.4255
Cl2 Cl 0.2565 0.6785 0.4497
Cl3 Cl 0.3260 0.0769 0.2204
```

Results
**Density of states at the Fermi level**: 5.5 states/eV/cell
**Relative energy among the computed polymorphs**: 0.008 eV per atom

=====

No. 2
Below is an optimized crystal structure of NiAgCl, with properties calculated at the PBE level.

```
data_NiAgCl
_chemical_formula_sum 'Ni4 Ag4 Cl4'
_cell_length_a 6.0571
_cell_length_b 6.0571
_cell_length_c 6.0571
_cell_angle_alpha 90.00
_cell_angle_beta 90.00
_cell_angle_gamma 90.00
_symmetry_space_group_name_H-M 'F -4 3 m'
_symmetry_Int_Tables_number 216
_symmetry_space_group_name_Hall 'F -4 2 3'
loop_
_atom_site_label
_atom_site_type_symbol
_atom_site_fract_x
_atom_site_fract_y
_atom_site_fract_z
Ni1 Ni 0.0000 0.0000 0.0000
Ag1 Ag 0.2500 0.2500 0.7500
Cl1 Cl 0.2500 0.2500 0.2500
```

Results
**Density of states at the Fermi level**: 22.4 states/eV/cell
**Relative energy among the computed polymorphs**: 0.348 eV per atom

=====

No. 3
Below is an optimized crystal structure of NiAg4Cl6, with properties calculated at the PBE level.

```
data_NiAg4Cl6
_chemical_formula_sum 'Ni4 Ag16 Cl24'
_cell_length_a 12.5575
_cell_length_b 7.7602
_cell_length_c 12.5267
_cell_angle_alpha 90.00
_cell_angle_beta 107.38
_cell_angle_gamma 90.00
_symmetry_space_group_name_H-M 'C 1 c 1'
_symmetry_Int_Tables_number 9
_symmetry_space_group_name_Hall 'C -2yc'
loop_
_atom_site_label
_atom_site_type_symbol
_atom_site_fract_x
_atom_site_fract_y
_atom_site_fract_z
Ni1 Ni 0.0000 0.2315 0.0000
Ag1 Ag 0.0465 0.2843 0.6141
Ag2 Ag 0.2357 0.4056 0.9591
Ag3 Ag 0.2497 0.0929 0.2718
Ag4 Ag 0.4070 0.4196 0.7560
Cl1 Cl 0.0320 0.4987 0.9486
Cl2 Cl 0.0449 0.0334 0.4608
Cl3 Cl 0.0547 0.2525 0.1879
Cl4 Cl 0.2331 0.2404 0.7731
Cl5 Cl 0.3122 0.2745 0.4571
Cl6 Cl 0.3566 0.2818 0.1515
```

Results
**Density of states at the Fermi level**: 5.1 states/eV/cell
**Calculated total energy**: -132.2 eV for the cell shown

=====

No. 4
Below is an optimized crystal structure of Ni2Ag4Cl, with properties calculated at the PBE level.

```
data_Ni2Ag4Cl
_chemical_formula_sum 'Ni4 Ag8 Cl2'
_cell_length_a 4.9964
_cell_length_b 4.9964
_cell_length_c 12.6903
_cell_angle_alpha 90.00
_cell_angle_beta 90.00
_cell_angle_gamma 90.00
_symmetry_space_group_name_H-M 'I 4/m m m'
_symmetry_Int_Tables_number 139
_symmetry_space_group_name_Hall '-I 4 2'
loop_
_atom_site_label
_atom_site_type_symbol
_atom_site_fract_x
_atom_site_fract_y
_atom_site_fract_z
Ni1 Ni 0.0000 0.0000 0.0894
Ag1 Ag 0.0000 0.0000 0.2866
Ag2 Ag 0.0000 0.5000 0.0000
Cl1 Cl 0.0000 0.0000 0.5000
```

Results
**Density of states at the Fermi level**: 20.7 states/eV/cell
**Calculated total energy**: -38.4 eV for the cell shown

=====

No. 5
Below is an optimized crystal structure of Ni2AgCl8, with properties calculated at the PBE level.

```
data_Ni2AgCl8
_chemical_formula_sum 'Ni4 Ag2 Cl16'
_cell_length_a 11.8386
_cell_length_b 9.5043
_cell_length_c 6.1610
_cell_angle_alpha 90.00
_cell_angle_beta 99.80
_cell_angle_gamma 90.00
_symmetry_space_group_name_H-M 'C 1 2/m 1'
_symmetry_Int_Tables_number 12
_symmetry_space_group_name_Hall '-C 2y'
loop_
_atom_site_label
_atom_site_type_symbol
_atom_site_fract_x
_atom_site_fract_y
_atom_site_fract_z
Ni1 Ni 0.2004 0.0000 0.1414
Ag1 Ag 0.0000 0.0000 0.5000
Cl1 Cl 0.1151 0.1791 0.2615
Cl2 Cl 0.1211 0.5000 0.7465
Cl3 Cl 0.1762 0.0000 0.7809
```

Results
**Density of states at the Fermi level**: 11.6 states/eV/cell
**Relative energy among the computed polymorphs**: 0.005 eV per atom

=====

No. 6
Below is an optimized crystal structure of NiAg3Cl4, with properties calculated at the PBE level.

```
data_NiAg3Cl4
_chemical_formula_sum 'Ni2 Ag6 Cl8'
_cell_length_a 5.8734
_cell_length_b 5.8734
_cell_length_c 11.8263
_cell_angle_alpha 90.00
_cell_angle_beta 90.00
_cell_angle_gamma 90.00
_symmetry_space_group_name_H-M 'I -4 2 m'
_symmetry_Int_Tables_number 121
_symmetry_space_group_name_Hall 'I -4 2'
loop_
_atom_site_label
_atom_site_type_symbol
_atom_site_fract_x
_atom_site_fract_y
_atom_site_fract_z
Ni1 Ni 0.0000 0.0000 0.0000
Ag1 Ag 0.0000 0.0000 0.5000
Ag2 Ag 0.0000 0.5000 0.2500
Cl1 Cl 0.2263 0.2263 0.8861
```

Results
**Density of states at the Fermi level**: 20.4 states/eV/cell
**Calculated total energy**: -48.2 eV for the cell shown